Run A
Computed, not measured: a geometry-optimized Li5Mg structure at the GGA-PBEsol level of DFT.

The value obtained for the calculated volume is 19.95 Å³/atom.

The structure belongs to space group F-43m (No. 216); the cell edges are 7.823, 7.823 and 7.823 Å and the angles 90.00°, 90.00° and 90.00°. The distinct sites, in fractional coordinates, are Li at (0.000, 0.000, 0.000), Li at (0.125, 0.125, 0.625) and Mg at (0.250, 0.250, 0.250).


Run B
Computed, not measured: a geometry-optimized Li5Mg structure at the GGA-PBEsol level of DFT.

The value obtained for the calculated volume is 19.81 Å³/atom.

The structure belongs to space group C2 (No. 5); the cell edges are 9.099, 5.268 and 5.894 Å and the angles 90.00°, 122.73° and 90.00°. The distinct sites, in fractional coordinates, are Li at (0.000, 0.000, 0.000), Li at (0.166, 0.501, 0.999), Li at (0.167, 0.668, 0.501) and Mg at (0.000, 0.168, 0.500).


Q: Which of them is the most stable? A: run B.